Record 1
A relaxed structure of Cs3Pm2NdTe6. Source: the Alexandria database, functional PBE-GGA.

The space group is C2/m (No. 12) and the conventional cell measures 8.071, 13.980 and 9.342 Å, with angles of 90.00, 106.74 and 90.00 degrees. The inequivalent atoms are Cs at (0.000, 0.000, 0.000), Cs at (0.000, 0.334, 0.000), Pm at (0.000, 0.167, 0.500), Nd at (0.000, 0.500, 0.500), Te at (0.230, 0.000, 0.694) and Te at (0.232, 0.333, 0.694).

The uncorrected formation energy is -136.34 kJ per mole of atoms.

---

Record 2
A relaxed structure of Ac2Pm3Pr2. Source: the Alexandria database, functional PBE-GGA.

The space group is C2/m (No. 12) and the conventional cell measures 17.610, 3.659 and 9.205 Å, with angles of 90.00, 115.97 and 90.00 degrees. The inequivalent atoms are Ac at (0.082, 0.000, 0.209), Pm at (0.000, 0.000, 0.500), Pm at (0.218, 0.000, 0.646) and Pr at (0.141, 0.500, 0.903).

The density of states at the Fermi level comes out at 1.66 states/eV/atom. As for the formation energy: 137 meV/atom.